1.
A relaxed structure of BiCF2. Source: Alexandria via LeMat-Bulk, functional PBE.

D(E_F): 2.23 states/eV per cell
excess energy over the best structure of this formula in the dataset: 303 meV per atom

a = 3.5334 Å, b = 3.5334 Å, c = 18.9274 Å
α = 90.00°, β = 90.00°, γ = 120.00°
With the nearest neighbours (Å) after each atom.
Space group R-3m (No. 166, hexagonal axes)
Inequivalent atoms, fractional coordinates:
Bi1 0.0000 0.0000 0.0000  2 F 2.33
C1 0.0000 0.0000 0.5000  6 F 2.20
F1 0.0000 0.0000 0.1229  3 C 2.20, 1 Bi 2.33


2.
A relaxed structure of Th2GePt. Source: Alexandria via LeMat-Bulk, functional PBE.

electronic total energy: -7.33 eV/atom
D(E_F): 7.26 states/eV per cell

a = 6.0242 Å, b = 4.2209 Å, c = 8.4366 Å
α = 90.00°, β = 109.86°, γ = 90.00°
With the nearest neighbours (Å) after each atom.
Space group P2_1/m (No. 11)
Inequivalent atoms, fractional coordinates:
Th1 0.1959 0.2500 0.4159  3 Pt 3.05-3.38, 4 Ge 3.10-3.21
Th2 0.2807 0.7500 0.0671  4 Pt 2.99-3.31, 3 Ge 3.15-3.30
Ge1 0.3692 0.7500 0.7019  2 Pt 2.81, 5 Th 3.10-3.15
Pt1 0.1354 0.2500 0.8001  2 Ge 2.81, 5 Th 2.99-3.07


3.
A relaxed structure of AlOsRu2. Source: Alexandria via LeMat-Bulk, functional PBE.

electronic total energy: -8.47 eV/atom
D(E_F): 9.91 states/eV per cell

a = 2.7462 Å, b = 2.7462 Å, c = 25.9089 Å
α = 90.00°, β = 90.00°, γ = 120.00°
With the nearest neighbours (Å) after each atom.
Space group R-3m (No. 166, hexagonal axes)
Inequivalent atoms, fractional coordinates:
Al1 0.0000 0.0000 0.0000  6 Ru 2.66, 6 Al 2.75
Os1 0.0000 0.0000 0.5000  6 Ru 2.70, 6 Os 2.75
Ru1 0.0000 0.0000 0.2510  3 Al 2.66, 3 Os 2.70, 6 Ru 2.75


4.
A relaxed structure of Ti2Pb2S. Source: Alexandria via LeMat-Bulk, functional PBE.

electronic total energy: -5.78 eV/atom
D(E_F): 8.77 states/eV per cell

a = 6.4308 Å, b = 6.4308 Å, c = 5.0704 Å
α = 90.00°, β = 90.00°, γ = 90.00°
With the nearest neighbours (Å) after each atom.
Space group P4/mbm (No. 127)
Inequivalent atoms, fractional coordinates:
Ti1 0.1567 0.3433 0.0000  2 S 2.43
Pb1 0.1707 0.6707 0.5000  6 Ti 2.98-3.30, 1 Pb 3.10
S1 0.0000 0.0000 0.0000  4 Ti 2.43


5.
A relaxed structure of ScCdMo2. Source: Alexandria via LeMat-Bulk, functional PBE.

electronic total energy: -7.09 eV/atom
D(E_F): 7.15 states/eV per cell

a = 3.2818 Å, b = 4.7646 Å, c = 9.4438 Å
α = 90.00°, β = 90.00°, γ = 90.00°
With the nearest neighbours (Å) after each atom.
Space group Cmm2 (No. 35)
Inequivalent atoms, fractional coordinates:
Sc1 0.0000 0.0000 0.0000  2 Mo 2.83, 4 Sc 2.89, 2 Cd 3.10
Cd1 0.0000 0.5000 0.7209  4 Cd 2.89, 2 Mo 2.99, 2 Sc 3.10
Mo1 0.0000 0.0000 0.4564  6 Mo 2.59-2.89
Mo2 0.0000 0.5000 0.2438  6 Mo 2.59-2.89, 2 Sc 2.83


6.
A relaxed structure of CsAg2IF2. Source: Alexandria via LeMat-Bulk, functional PBE.

electronic total energy: -3.27 eV/atom
D(E_F): 0.00 states/eV per cell

a = 6.3406 Å, b = 5.8172 Å, c = 9.2717 Å
α = 90.00°, β = 105.50°, γ = 90.00°
With the nearest neighbours (Å) after each atom.
Space group P2_1/m (No. 11)
Inequivalent atoms, fractional coordinates:
Cs1 0.1883 0.2500 0.4114  2 F 2.85-3.07
Ag1 0.3675 0.5019 0.8486  2 F 2.36-2.39
I1 0.2251 0.7500 0.0758  4 Ag 2.89
F1 0.1066 0.2500 0.6994  2 Ag 2.36
F2 0.3532 0.7500 0.6403  2 Ag 2.39


7.
A relaxed structure of TbPm3Y6Sc2. Source: Alexandria via LeMat-Bulk, functional PBE.

electronic total energy: -5.82 eV/atom
D(E_F): 36.81 states/eV per cell

a = 6.1439 Å, b = 10.6383 Å, c = 11.7026 Å
α = 90.00°, β = 100.06°, γ = 90.00°
With the nearest neighbours (Å) after each atom.
Space group C2/m (No. 12)
Inequivalent atoms, fractional coordinates:
Tb1 0.0000 0.0000 0.0000  6 Y 3.47, 6 Sc 3.54-3.55
Pm1 0.0000 0.1669 0.5000  6 Pm 3.54-3.55, 6 Y 3.60-3.61
Pm2 0.0000 0.5000 0.5000  6 Pm 3.54-3.55, 6 Y 3.60-3.61
Y1 0.2451 0.5000 0.2423  2 Sc 3.46, 1 Tb 3.47, 6 Y 3.53-3.57, 3 Pm 3.60-3.61
Y2 0.2491 0.1679 0.2423  2 Sc 3.46, 1 Tb 3.47, 6 Y 3.53-3.57, 3 Pm 3.60-3.61
Sc1 0.0000 0.3332 0.0000  6 Y 3.46, 3 Tb 3.54-3.55, 3 Sc 3.55